VASP calculation (PBE) on Cs2CaIrCl6 after structural relaxation.

Properties
E_form (uncorrected)	-1.462	eV per atom
magnetic moment	1.00	μB per formula unit

abc: 7.478 7.478 7.386
angles: 59.59 59.59 90.00
Each line ends with the local moment (μB).
Fractional positions:
Cl  0.231  0.231  0.539  0.00
Cl  0.759  0.759  0.000  0.03
Cl  0.769  0.769  0.461  0.00
Cl  0.241  0.759  0.000  0.03
Cl  0.241  0.241  0.000  0.03
Cl  0.759  0.241  0.000  0.03
Cs  0.750  0.250  0.500  0.00
Cs  0.250  0.750  0.500  0.00
Ir  0.000  0.000  0.000  0.73
Ca  0.500  0.500  0.000  0.03

VASP calculation (PBE) on NbHgMo3 after structural relaxation.

Properties
energy above the lowest structure with this stoichiometry	0	meV per atom
magnetic moment	0.00	μB per formula unit
ΔH_f (0 K)	1.758	eV/atom

abc: 4.783 4.783 4.783
angles: 90.00 90.00 90.00
Fractional positions:
Mo  0.000  0.000  0.500
Mo  0.000  0.500  0.000
Mo  0.500  0.000  0.000
Hg  0.500  0.500  0.500
Nb  0.000  0.000  0.000

VASP calculation (PBE) on CdP2OsS after structural relaxation.

Properties
energy above the lowest structure with this stoichiometry	1579	meV per atom
E_form (uncorrected)	2.064	eV per atom
magnetic moment	2.22	μB per formula unit

abc: 4.861 4.861 4.784
angles: 90.00 90.00 90.00
Each line ends with the local moment (μB).
Fractional positions:
P  0.500  0.000  0.000  -0.16
P  0.000  0.500  0.000  -0.16
S  0.000  0.000  0.500  0.00
Os  0.500  0.500  0.500  2.53
Cd  0.000  0.000  0.000  0.00

VASP calculation (PBE) on Ta2ZnP after structural relaxation.

Properties
magnetic moment	0.00	μB per formula unit
ΔH_f (0 K)	-0.253	eV/atom

abc: 5.058 5.058 3.652
angles: 90.00 90.00 138.90
Fractional positions:
Zn  0.705  0.295  0.000
Ta  0.977  0.023  0.000
Ta  0.276  0.724  0.500
P  0.545  0.455  0.500

VASP calculation (PBE) on V3HIr after structural relaxation.

Properties
energy above the lowest structure with this stoichiometry	1722	meV per atom
magnetic moment	6.55	μB per formula unit

abc: 4.755 4.755 4.755
angles: 90.00 90.00 90.00
Each line ends with the local moment (μB).
Fractional positions:
V  0.500  0.000  0.000  2.00
V  0.000  0.500  0.000  2.00
V  0.000  0.000  0.500  2.00
H  0.500  0.500  0.500  -0.13
Ir  0.000  0.000  0.000  -0.29

VASP calculation (PBE) on Ac4In5Ir2 after structural relaxation.

Properties
magnetic moment	0.00	μB per formula unit
ΔH_f (0 K)	-0.480	eV/atom

abc: 4.055 8.009 10.193
angles: 93.53 90.00 90.00
Fractional positions:
In  0.000  0.187  0.157
In  0.000  0.448  0.684
In  0.000  0.813  0.843
In  0.000  0.500  0.000
In  0.000  0.552  0.316
Ir  0.000  0.928  0.355
Ir  0.000  0.072  0.645
Ac  0.500  0.222  0.447
Ac  0.500  0.778  0.553
Ac  0.500  0.170  0.852
Ac  0.500  0.830  0.148

VASP calculation (PBE) on LiTa2Al after structural relaxation.

Properties
energy above the lowest structure with this stoichiometry	72	meV per atom
magnetic moment	0.00	μB per formula unit
ΔH_f (0 K)	0.104	eV/atom

abc: 3.191 4.446 4.730
angles: 90.00 90.00 90.00
Fractional positions:
Al  0.500  0.000  0.500
Li  0.000  0.500  0.500
Ta  0.500  0.500  0.000
Ta  0.000  0.000  0.000

VASP calculation (PBE) on Er12Tm6Th after structural relaxation.

Properties
energy above the lowest structure with this stoichiometry	0	meV per atom
magnetic moment	0.00	μB per formula unit
ΔH_f (0 K)	0.150	eV/atom

abc: 8.422 8.422 8.422
angles: 88.36 88.36 88.36
Fractional positions:
Er  0.226  0.457  0.562
Er  0.562  0.226  0.457
Er  0.543  0.438  0.774
Er  0.008  0.211  0.351
Er  0.649  0.992  0.789
Er  0.774  0.543  0.438
Er  0.351  0.008  0.211
Er  0.211  0.351  0.008
Er  0.789  0.649  0.992
Er  0.457  0.562  0.226
Er  0.438  0.774  0.543
Er  0.992  0.789  0.649
Tm  0.092  0.688  0.254
Tm  0.254  0.092  0.688
Tm  0.908  0.312  0.746
Tm  0.688  0.254  0.092
Tm  0.312  0.746  0.908
Tm  0.746  0.908  0.312
Th  0.000  0.000  0.000